## w
Computed, not measured: an optimized crystal structure of Mg6NbBiO8 at the PBE-GGA level of DFT.

Output
Symmetry   No. 123

Unit cell a=4.5893 b=4.5893 c=8.8967 alpha=90.00 beta=90.00 gamma=90.00
Fractional coordinates of all 16 atoms:
Mg 0.0000 0.5000 0.7323
Mg 0.5000 0.5000 0.5000
O 0.5000 0.5000 0.7246
Mg 0.5000 0.0000 0.7323
O 0.0000 0.5000 0.0000
O 0.0000 0.0000 0.7355
O 0.5000 0.5000 0.2754
Bi 0.5000 0.5000 0.0000
Mg 0.5000 0.0000 0.2677
O 0.0000 0.5000 0.5000
Nb 0.0000 0.0000 0.0000
O 0.5000 0.0000 0.0000
Mg 0.0000 0.5000 0.2677
O 0.0000 0.0000 0.2645
O 0.5000 0.0000 0.5000
Mg 0.0000 0.0000 0.5000

## x
Computed, not measured: an optimized crystal structure of Mg6NbBiO8 at the PBE-GGA level of DFT.

Output
Symmetry   No. 123

Unit cell a=4.5649 b=4.5649 c=9.1144 alpha=90.00 beta=90.00 gamma=90.00
Fractional coordinates of all 16 atoms:
O 0.5000 0.5000 0.7506
Mg 0.5000 0.0000 0.2378
Mg 0.5000 0.5000 0.5000
O 0.0000 0.0000 0.2399
O 0.0000 0.5000 0.0000
Nb 0.0000 0.0000 0.0000
O 0.5000 0.5000 0.2494
O 0.5000 0.0000 0.0000
Bi 0.0000 0.0000 0.5000
Mg 0.5000 0.5000 0.0000
Mg 0.5000 0.0000 0.7622
O 0.5000 0.0000 0.5000
O 0.0000 0.5000 0.5000
Mg 0.0000 0.5000 0.2378
Mg 0.0000 0.5000 0.7622
O 0.0000 0.0000 0.7601

The calculated energies rank the structures as follows, beginning with the most stable: w, x.

## w
Computed, not measured: an optimized crystal structure of MgNiBi at the PBE-GGA level of DFT.

Output
Symmetry   No. 216

Unit cell a=4.4391 b=4.4391 c=4.4391 alpha=60.00 beta=60.00 gamma=60.00
Fractional coordinates of all 3 atoms:
Ni 0.0000 0.0000 0.0000
Bi 0.7500 0.7500 0.7500
Mg 0.2500 0.2500 0.2500

## x
Computed, not measured: an optimized crystal structure of MgNiBi at the PBE-GGA level of DFT.

Output
Symmetry   No. 129

Unit cell a=4.3907 b=4.3907 c=6.3183 alpha=90.00 beta=90.00 gamma=90.00
Fractional coordinates of all 6 atoms:
Mg 0.5000 0.0000 0.2539
Bi 0.0000 0.5000 0.2324
Ni 0.0000 0.0000 0.5000
Bi 0.5000 0.0000 0.7677
Mg 0.0000 0.5000 0.7461
Ni 0.5000 0.5000 0.5000

The calculated energies rank the structures as follows, beginning with the most stable: w, x.